## LaZr3Sc (PBE)

Data for an optimized crystal structure of LaZr3Sc.

Properties
Its relative energy among the computed polymorphs is 0.00 kJ/mol of atoms. Its formation enthalpy at 0 K is 0.820 eV/atom.

a b c (Å): 5.2224 5.2224 5.2224
angles (deg): 90.00 90.00 90.00
Closest atoms and distances in Å follow each position.
Atoms (fractional coordinates):
La  0.0000  0.0000  0.0000  12 Zr 3.69
Zr  0.0000  0.5000  0.5000  2 Sc 2.61
Zr  0.5000  0.0000  0.5000  2 Sc 2.61
Zr  0.5000  0.5000  0.0000  2 Sc 2.61
Sc  0.5000  0.5000  0.5000  6 Zr 2.61